This record from OQMD via LeMat-Bulk describes a geometry-optimized Li2Mg2TlGaPt2 structure. The functional is PBE.

Unit cell a=4.5078 b=4.5078 c=6.4769 alpha=90.00 beta=90.00 gamma=90.00
Last column: nearest neighbours and their distance in Å.
Fractional positions:
Tl 0.5000 0.5000 0.5000  4 Li 2.84, 4 Pt 2.88
Mg 0.0000 0.0000 0.5000  4 Li 2.84, 4 Pt 2.88
Mg 0.5000 0.5000 0.0000  4 Pt 2.67, 4 Li 2.71
Li 0.0000 0.5000 0.7680  4 Mg 2.71-2.84, 2 Ga 2.71, 2 Tl 2.84, 1 Pt 2.94
Li 0.5000 0.0000 0.2320  4 Mg 2.71-2.84, 2 Ga 2.71, 2 Tl 2.84, 1 Pt 2.94
Ga 0.0000 0.0000 0.0000  4 Pt 2.67, 4 Li 2.71
Pt 0.0000 0.5000 0.2224  4 Mg 2.67-2.88, 2 Ga 2.67, 2 Tl 2.88, 1 Li 2.94
Pt 0.5000 0.0000 0.7776  4 Mg 2.67-2.88, 2 Ga 2.67, 2 Tl 2.88, 1 Li 2.94

Summary:
**Total magnetization**: 0.005 μB per atom
**VASP energy**: -3.63 eV per atom
**ρ**: 9.17 g cm⁻³

=====

This record from OQMD via LeMat-Bulk describes a geometry-optimized Li2MgZn2GaPt2 structure. The functional is PBE.

Unit cell a=4.3568 b=4.3568 c=6.1758 alpha=90.00 beta=90.00 gamma=90.00
Last column: nearest neighbours and their distance in Å.
Fractional positions:
Li 0.0000 0.5000 0.2404  4 Zn 2.64-2.70, 2 Ga 2.64, 2 Mg 2.70, 1 Pt 2.95
Li 0.5000 0.0000 0.7596  4 Zn 2.64-2.70, 2 Ga 2.64, 2 Mg 2.70, 1 Pt 2.95
Ga 0.0000 0.0000 0.0000  4 Pt 2.62, 4 Li 2.64
Pt 0.0000 0.5000 0.7631  4 Zn 2.62-2.72, 2 Ga 2.62, 2 Mg 2.72
Pt 0.5000 0.0000 0.2369  4 Zn 2.62-2.72, 2 Ga 2.62, 2 Mg 2.72
Mg 0.5000 0.5000 0.5000  4 Li 2.70, 4 Pt 2.72
Zn 0.0000 0.0000 0.5000  4 Li 2.70, 4 Pt 2.72
Zn 0.5000 0.5000 0.0000  4 Pt 2.62, 4 Li 2.64

Summary:
**Total magnetization**: 0.000 μB per atom
**VASP energy**: -3.50 eV per atom
**ρ**: 8.91 g cm⁻³

=====

This record from OQMD via LeMat-Bulk describes a geometry-optimized Li2MgZrGa2Pt2 structure. The functional is PBE.

Unit cell a=4.4521 b=4.4521 c=6.3441 alpha=90.00 beta=90.00 gamma=90.00
Last column: nearest neighbours and their distance in Å.
Fractional positions:
Pt 0.5000 0.0000 0.7526  4 Ga 2.72-2.74, 2 Zr 2.72, 2 Mg 2.74, 1 Li 3.02
Pt 0.0000 0.5000 0.2474  4 Ga 2.72-2.74, 2 Zr 2.72, 2 Mg 2.74, 1 Li 3.02
Li 0.5000 0.0000 0.2770  2 Mg 2.64, 4 Ga 2.64-2.84, 2 Zr 2.84
Li 0.0000 0.5000 0.7230  2 Mg 2.64, 4 Ga 2.64-2.84, 2 Zr 2.84
Mg 0.0000 0.0000 0.5000  4 Li 2.64, 4 Pt 2.74
Zr 0.5000 0.5000 0.0000  4 Pt 2.72, 4 Li 2.84
Ga 0.0000 0.0000 0.0000  4 Pt 2.72, 4 Li 2.84
Ga 0.5000 0.5000 0.5000  4 Li 2.64, 4 Pt 2.74

Summary:
**Total magnetization**: 0.001 μB per atom
**VASP energy**: -4.73 eV per atom
**ρ**: 8.70 g cm⁻³

=====

This record from OQMD via LeMat-Bulk describes a geometry-optimized LiGaMo2 structure. The functional is PBE.

Unit cell a=4.3710 b=4.3710 c=4.3710 alpha=60.00 beta=60.00 gamma=60.00
Last column: nearest neighbours and their distance in Å.
Fractional positions:
Li 0.2500 0.2500 0.2500  4 Mo 2.68, 4 Ga 2.68
Mo 0.0000 0.0000 0.0000  4 Mo 2.68, 4 Li 2.68
Mo 0.7500 0.7500 0.7500  4 Mo 2.68, 4 Ga 2.68
Ga 0.5000 0.5000 0.5000  4 Mo 2.68, 4 Li 2.68

Summary:
**Total magnetization**: 0.000 μB per atom
**VASP energy**: -6.56 eV per atom
**ρ**: 7.55 g cm⁻³

=====

This record from OQMD via LeMat-Bulk describes a geometry-optimized LiGaMo structure. The functional is PBE.

Unit cell a=4.0120 b=4.0120 c=4.0120 alpha=60.00 beta=60.00 gamma=60.00
Last column: nearest neighbours and their distance in Å.
Fractional positions:
Li 0.0000 0.0000 0.0000  4 Mo 2.46, 4 Ga 2.46
Mo 0.7500 0.7500 0.7500  4 Li 2.46
Ga 0.2500 0.2500 0.2500  4 Li 2.46

Summary:
**Total magnetization**: 0.533 μB per atom
**VASP energy**: -4.55 eV per atom
**ρ**: 6.28 g cm⁻³

=====

This record from OQMD via LeMat-Bulk describes a geometry-optimized LiGaNiMo structure. The functional is PBE.

Unit cell a=4.1882 b=4.1882 c=4.1882 alpha=60.00 beta=60.00 gamma=60.00
Last column: nearest neighbours and their distance in Å.
Fractional positions:
Ni 0.7500 0.7500 0.7500  4 Mo 2.56, 4 Ga 2.56
Mo 0.5000 0.5000 0.5000  4 Ni 2.56, 4 Li 2.56
Ga 0.0000 0.0000 0.0000  4 Ni 2.56, 4 Li 2.56
Li 0.2500 0.2500 0.2500  4 Mo 2.56, 4 Ga 2.56

Summary:
**Total magnetization**: 0.500 μB per atom
**Polymorph energy (0 for the lowest one)**: 0 meV/atom
**ρ**: 7.39 g cm⁻³

=====

This record from OQMD via LeMat-Bulk describes a geometry-optimized LiGaNiMo structure. The functional is PBE.

Unit cell a=4.2328 b=4.2328 c=4.2328 alpha=60.00 beta=60.00 gamma=60.00
Last column: nearest neighbours and their distance in Å.
Fractional positions:
Mo 0.2500 0.2500 0.2500  4 Ga 2.59, 4 Li 2.59
Li 0.5000 0.5000 0.5000  4 Mo 2.59, 4 Ni 2.59
Ga 0.0000 0.0000 0.0000  4 Mo 2.59, 4 Ni 2.59
Ni 0.7500 0.7500 0.7500  4 Li 2.59, 4 Ga 2.59

Summary:
**Total magnetization**: 0.526 μB per atom
**Polymorph energy (0 for the lowest one)**: 114 meV/atom
**ρ**: 7.16 g cm⁻³

=====

This record from OQMD via LeMat-Bulk describes a geometry-optimized Li2Ga2MoOs2W structure. The functional is PBE.

Unit cell a=4.2915 b=4.2915 c=6.0693 alpha=90.00 beta=90.00 gamma=90.00
Last column: nearest neighbours and their distance in Å.
Fractional positions:
Li 0.5000 0.0000 0.2496  2 Mo 2.63, 4 Ga 2.63, 2 W 2.63
Li 0.0000 0.5000 0.7504  2 Mo 2.63, 4 Ga 2.63, 2 W 2.63
Os 0.5000 0.0000 0.7492  2 W 2.63, 4 Ga 2.63, 2 Mo 2.63
Os 0.0000 0.5000 0.2508  2 W 2.63, 4 Ga 2.63, 2 Mo 2.63
Mo 0.0000 0.0000 0.0000  4 Li 2.63, 4 Os 2.63
W 0.5000 0.5000 0.5000  4 Os 2.63, 4 Li 2.63
Ga 0.0000 0.0000 0.5000  4 Os 2.63, 4 Li 2.63
Ga 0.5000 0.5000 0.0000  4 Li 2.63, 4 Os 2.63

Summary:
**Total magnetization**: 0.000 μB per atom
**VASP energy**: -7.20 eV per atom
**ρ**: 12.09 g cm⁻³

=====

This record from OQMD via LeMat-Bulk describes a geometry-optimized LiNbGa structure. The functional is PBE.

Unit cell a=4.0651 b=4.0651 c=4.0651 alpha=60.00 beta=60.00 gamma=60.00
Last column: nearest neighbours and their distance in Å.
Fractional positions:
Nb 0.7500 0.7500 0.7500  4 Li 2.49
Li 0.0000 0.0000 0.0000  4 Ga 2.49, 4 Nb 2.49
Ga 0.2500 0.2500 0.2500  4 Li 2.49

Summary:
**Total magnetization**: 0.001 μB per atom
**VASP energy**: -4.57 eV per atom
**ρ**: 5.93 g cm⁻³

=====

This record from OQMD via LeMat-Bulk describes a geometry-optimized LiNb2Ga structure. The functional is PBE.

Unit cell a=4.5544 b=4.5544 c=4.5544 alpha=60.00 beta=60.00 gamma=60.00
Last column: nearest neighbours and their distance in Å.
Fractional positions:
Nb 0.0000 0.0000 0.0000  4 Li 2.79, 4 Nb 2.79
Nb 0.7500 0.7500 0.7500  4 Ga 2.79, 4 Nb 2.79
Li 0.2500 0.2500 0.2500  4 Nb 2.79, 4 Ga 2.79
Ga 0.5000 0.5000 0.5000  4 Nb 2.79, 4 Li 2.79

Summary:
**Total magnetization**: 0.172 μB per atom
**VASP energy**: -6.04 eV per atom
**ρ**: 6.52 g cm⁻³